# 1
Computed, not measured: a geometry-optimized KSi2Cl structure at the PBE-GGA level of DFT.

Computed properties:
M_tot: 0.000 μB/atom
formation energy from raw total energies: -430 meV per atom
symmetry: Cm, No. 8
E above lowest polymorph: 0 meV per atom

a = 3.960 Å, b = 3.960 Å, c = 8.112 Å
α = 78.03°, β = 78.03°, γ = 59.67°
Fractional coordinates of all 4 atoms:
1 Cl 0.480 0.480 0.498
2 K 0.747 0.747 0.728
3 Si 0.961 0.961 0.171
4 Si 0.312 0.312 0.104

# 2
Computed, not measured: a geometry-optimized SrLi2Fe structure at the PBE-GGA level of DFT.

Computed properties:
formation enthalpy at 0 K: 0.4862 eV per atom
M_tot: 0.587 μB/atom
symmetry: Pm, No. 6
E above lowest polymorph: 55 meV per atom

a = 4.335 Å, b = 3.520 Å, c = 6.692 Å
α = 74.96°, β = 90.00°, γ = 90.00°
Last column: magnetic moment on the atom in μB.
Fractional coordinates of all 4 atoms:
1 Fe 0.500 0.914 0.799  2.76
2 Li 0.000 0.804 0.016  -0.04
3 Li 0.500 0.245 0.137  -0.02
4 Sr 0.000 0.537 0.548  -0.08

# 3
Computed, not measured: a geometry-optimized ErBe2Ir structure at the PBE-GGA level of DFT.

Computed properties:
formation enthalpy at 0 K: -0.5167 eV per atom
M_tot: 0.000 μB/atom
symmetry: P6_3/mmc, No. 194
E above lowest polymorph: 14 meV per atom

a = 3.870 Å, b = 3.870 Å, c = 9.489 Å
α = 90.00°, β = 90.00°, γ = 120.00°
Fractional coordinates of all 8 atoms:
1 Er 0.333 0.667 0.250
2 Er 0.667 0.333 0.750
3 Be 0.667 0.333 0.047
4 Be 0.333 0.667 0.547
5 Be 0.667 0.333 0.453
6 Be 0.333 0.667 0.953
7 Ir 0.000 0.000 0.000
8 Ir 0.000 0.000 0.500

# 4
Computed, not measured: a geometry-optimized HoScCoHg structure at the PBE-GGA level of DFT.

Computed properties:
formation enthalpy at 0 K: -0.2355 eV per atom
M_tot: 0.144 μB/atom
symmetry: F-43m, No. 216
E above lowest polymorph: 128 meV per atom

a = 4.875 Å, b = 4.875 Å, c = 4.875 Å
α = 60.00°, β = 60.00°, γ = 60.00°
Last column: magnetic moment on the atom in μB.
Fractional coordinates of all 4 atoms:
1 Sc 0.000 0.000 0.000  -0.17
2 Co 0.750 0.750 0.750  1.06
3 Hg 0.250 0.250 0.250  -0.01
4 Ho 0.500 0.500 0.500  -0.15

# 5
Computed, not measured: a geometry-optimized BaCaCd2 structure at the PBE-GGA level of DFT.

Computed properties:
formation enthalpy at 0 K: -0.2855 eV per atom
M_tot: 0.000 μB/atom
symmetry: P4/mmm, No. 123

a = 5.825 Å, b = 5.829 Å, c = 3.940 Å
α = 90.00°, β = 90.00°, γ = 90.00°
Fractional coordinates of all 4 atoms:
1 Ca 0.000 0.500 0.500
2 Ba 0.500 0.000 0.500
3 Cd 0.000 0.000 0.000
4 Cd 0.500 0.500 0.000

# 6
Computed, not measured: a geometry-optimized CePa3Mn structure at the PBE-GGA level of DFT.

Computed properties:
formation enthalpy at 0 K: 0.2633 eV per atom
M_tot: 0.000 μB/atom
symmetry: Pm-3m, No. 221

a = 5.042 Å, b = 5.042 Å, c = 5.042 Å
α = 90.00°, β = 90.00°, γ = 90.00°
Fractional coordinates of all 5 atoms:
1 Mn 0.000 0.000 0.000
2 Pa 0.000 0.500 0.000
3 Pa 0.000 0.000 0.500
4 Pa 0.500 0.000 0.000
5 Ce 0.500 0.500 0.500

# 7
Computed, not measured: a geometry-optimized CsSn3Pt structure at the PBE-GGA level of DFT.

Computed properties:
formation enthalpy at 0 K: -0.3030 eV per atom
M_tot: 0.000 μB/atom
symmetry: P2_1/c, No. 14
E above lowest polymorph: 0 meV per atom

a = 7.425 Å, b = 9.319 Å, c = 9.793 Å
α = 114.82°, β = 90.00°, γ = 90.00°
Fractional coordinates of all 20 atoms:
1 Cs 0.941 0.615 0.204
2 Cs 0.059 0.385 0.796
3 Cs 0.441 0.385 0.296
4 Cs 0.559 0.615 0.704
5 Sn 0.125 0.024 0.357
6 Sn 0.875 0.976 0.643
7 Sn 0.625 0.976 0.143
8 Sn 0.375 0.024 0.857
9 Sn 0.557 0.823 0.430
10 Sn 0.443 0.177 0.570
11 Sn 0.057 0.177 0.070
12 Sn 0.943 0.823 0.930
13 Sn 0.073 0.672 0.602
14 Sn 0.927 0.328 0.398
15 Sn 0.573 0.328 0.898
16 Sn 0.427 0.672 0.102
17 Pt 0.239 0.923 0.575
18 Pt 0.761 0.077 0.425
19 Pt 0.739 0.077 0.925
20 Pt 0.261 0.923 0.075

# 8
Computed, not measured: a geometry-optimized Ce2MgBePt6 structure at the PBE-GGA level of DFT.

Computed properties:
formation enthalpy at 0 K: -0.7883 eV per atom
M_tot: 0.122 μB/atom
symmetry: R-3m, No. 166

a = 5.687 Å, b = 7.581 Å, c = 7.580 Å
α = 44.07°, β = 67.95°, γ = 89.99°
Last column: magnetic moment on the atom in μB.
Fractional coordinates of all 10 atoms:
1 Ce 0.719 0.280 0.562  0.60
2 Ce 0.281 0.720 0.438  0.60
3 Mg 0.000 0.000 0.000  0.00
4 Be 0.500 0.500 0.000  0.00
5 Pt 0.261 0.226 0.478  -0.02
6 Pt 0.772 0.738 0.967  -0.02
7 Pt 0.260 0.738 0.966  -0.02
8 Pt 0.740 0.262 0.034  -0.02
9 Pt 0.228 0.262 0.033  -0.02
10 Pt 0.739 0.774 0.522  -0.02

# 9
Computed, not measured: a geometry-optimized TbNpU2P4 structure at the PBE-GGA level of DFT.

Computed properties:
formation enthalpy at 0 K: -1.0870 eV per atom
M_tot: 0.525 μB/atom
symmetry: P2/m, No. 10

a = 3.947 Å, b = 6.846 Å, c = 6.867 Å
α = 109.35°, β = 90.00°, γ = 90.00°
Last column: magnetic moment on the atom in μB.
Fractional coordinates of all 8 atoms:
1 Tb 0.500 0.500 0.000  0.01
2 Np 0.000 0.000 0.000  3.61
3 U 0.500 0.000 0.500  -1.64
4 U 0.000 0.500 0.500  1.93
5 P 0.500 0.248 0.253  -0.06
6 P 0.500 0.752 0.747  -0.06
7 P 0.000 0.246 0.743  -0.01
8 P 0.000 0.754 0.257  -0.01

# 10
Computed, not measured: a geometry-optimized Sm3Te structure at the PBE-GGA level of DFT.

Computed properties:
M_tot: 0.000 μB/atom
formation energy from raw total energies: -680 meV per atom
symmetry: Cmcm, No. 63
E above lowest polymorph: 2 meV per atom

a = 4.037 Å, b = 6.449 Å, c = 10.125 Å
α = 90.00°, β = 90.00°, γ = 108.24°
Fractional coordinates of all 8 atoms:
1 Sm 0.442 0.883 0.750
2 Sm 0.558 0.117 0.250
3 Sm 0.136 0.271 0.964
4 Sm 0.864 0.729 0.036
5 Sm 0.864 0.729 0.464
6 Sm 0.136 0.271 0.536
7 Te 0.733 0.465 0.750
8 Te 0.267 0.535 0.250

# 11
Computed, not measured: a geometry-optimized TcGe2AsPb structure at the PBE-GGA level of DFT.

Computed properties:
formation enthalpy at 0 K: 1.6721 eV per atom
M_tot: 0.662 μB/atom
symmetry: P4/mmm, No. 123

a = 5.343 Å, b = 5.259 Å, c = 5.343 Å
α = 90.00°, β = 90.00°, γ = 90.00°
Last column: magnetic moment on the atom in μB.
Fractional coordinates of all 5 atoms:
1 Pb 0.000 0.000 0.000  -0.05
2 As 0.500 0.500 0.500  0.01
3 Ge 0.000 0.000 0.500  0.00
4 Ge 0.500 0.000 0.000  -0.03
5 Tc 0.000 0.500 0.000  2.89

# 12
Computed, not measured: a geometry-optimized Ho8Te4P3N structure at the PBE-GGA level of DFT.

Computed properties:
M_tot: 0.000 μB/atom
formation energy from raw total energies: -1470 meV per atom
symmetry: R-3m, No. 166

a = 8.024 Å, b = 8.386 Å, c = 8.024 Å
α = 118.58°, β = 120.00°, γ = 90.00°
Fractional coordinates of all 16 atoms:
1 Ho 0.222 0.699 0.976
2 Ho 0.222 0.699 0.445
3 Ho 0.264 0.291 0.527
4 Ho 0.754 0.699 0.976
5 Ho 0.246 0.301 0.024
6 Ho 0.736 0.709 0.473
7 Ho 0.778 0.301 0.555
8 Ho 0.778 0.301 0.024
9 Te 0.500 0.000 0.000
10 Te 0.500 0.000 0.500
11 Te 0.000 0.000 0.000
12 Te 0.000 0.000 0.500
13 P 0.500 0.500 0.000
14 P 0.500 0.500 0.500
15 P 0.000 0.500 0.500
16 N 0.000 0.500 0.000

# 13
Computed, not measured: a geometry-optimized Ga3RuC structure at the PBE-GGA level of DFT.

Computed properties:
formation enthalpy at 0 K: 0.8528 eV per atom
M_tot: 0.000 μB/atom
symmetry: Pm-3m, No. 221
E above lowest polymorph: 0 meV per atom

a = 4.190 Å, b = 4.190 Å, c = 4.190 Å
α = 90.00°, β = 90.00°, γ = 90.00°
Fractional coordinates of all 5 atoms:
1 Ru 0.500 0.500 0.500
2 C 0.000 0.000 0.000
3 Ga 0.000 0.500 0.000
4 Ga 0.000 0.000 0.500
5 Ga 0.500 0.000 0.000

# 14
Computed, not measured: a geometry-optimized ReMo3 structure at the PBE-GGA level of DFT.

Computed properties:
formation enthalpy at 0 K: 0.0291 eV per atom
M_tot: 0.000 μB/atom
symmetry: P4/mmm, No. 123

a = 3.150 Å, b = 6.301 Å, c = 3.150 Å
α = 90.00°, β = 90.00°, γ = 90.00°
Fractional coordinates of all 4 atoms:
1 Re 0.500 0.750 0.500
2 Mo 0.000 0.001 0.000
3 Mo 0.000 0.499 0.000
4 Mo 0.500 0.250 0.500

# 15
Computed, not measured: a geometry-optimized RbY2Cd structure at the PBE-GGA level of DFT.

Computed properties:
formation enthalpy at 0 K: 0.7400 eV per atom
M_tot: 0.287 μB/atom
symmetry: I4_1/amd, No. 141

a = 6.449 Å, b = 6.449 Å, c = 11.320 Å
α = 73.45°, β = 73.45°, γ = 90.00°
Last column: magnetic moment on the atom in μB.
Fractional coordinates of all 8 atoms:
1 Y 0.875 0.125 0.250  0.23
2 Y 0.875 0.625 0.250  0.23
3 Y 0.375 0.125 0.750  0.25
4 Y 0.875 0.125 0.750  0.23
5 Rb 0.500 0.500 0.000  0.01
6 Rb 0.250 0.750 0.500  0.01
7 Cd 0.000 0.000 0.000  0.00
8 Cd 0.750 0.250 0.500  0.00

# 16
Computed, not measured: a geometry-optimized CoTc2Sn structure at the PBE-GGA level of DFT.

Computed properties:
formation enthalpy at 0 K: 0.6115 eV per atom
M_tot: 0.000 μB/atom
symmetry: I-42d, No. 122

a = 7.258 Å, b = 7.258 Å, c = 5.708 Å
α = 50.53°, β = 50.53°, γ = 90.00°
Fractional coordinates of all 8 atoms:
1 Co 0.500 0.500 0.000
2 Co 0.250 0.750 0.500
3 Sn 0.000 0.000 0.000
4 Sn 0.750 0.250 0.500
5 Tc 0.564 0.125 0.250
6 Tc 0.186 0.625 0.250
7 Tc 0.375 0.436 0.750
8 Tc 0.875 0.814 0.750

# 17
Computed, not measured: a geometry-optimized Pm2YCo6 structure at the PBE-GGA level of DFT.

Computed properties:
formation enthalpy at 0 K: -0.1226 eV per atom
M_tot: 0.497 μB/atom
symmetry: P6/mmm, No. 191

a = 4.143 Å, b = 6.710 Å, c = 6.710 Å
α = 120.00°, β = 90.00°, γ = 90.00°
Last column: magnetic moment on the atom in μB.
Fractional coordinates of all 9 atoms:
1 Pm 0.000 0.333 0.667  -0.12
2 Pm 0.000 0.667 0.333  -0.12
3 Y 0.000 0.000 0.000  -0.13
4 Co 0.500 0.332 0.332  0.87
5 Co 0.500 0.668 0.668  0.87
6 Co 0.500 0.000 0.668  0.87
7 Co 0.500 0.668 0.000  0.87
8 Co 0.500 0.332 0.000  0.87
9 Co 0.500 0.000 0.332  0.87

# 18
Computed, not measured: a geometry-optimized KFe2Ir structure at the PBE-GGA level of DFT.

Computed properties:
formation enthalpy at 0 K: 0.6301 eV per atom
M_tot: 1.470 μB/atom
symmetry: Cm, No. 8
E above lowest polymorph: 101 meV per atom

a = 4.443 Å, b = 4.443 Å, c = 7.096 Å
α = 84.32°, β = 84.32°, γ = 35.99°
Last column: magnetic moment on the atom in μB.
Fractional coordinates of all 4 atoms:
1 Fe 0.030 0.030 0.894  2.79
2 Fe 0.744 0.744 0.740  2.61
3 Ir 0.478 0.478 0.609  0.35
4 K 0.247 0.247 0.257  0.00

# 19
Computed, not measured: a geometry-optimized Cd2FeHg structure at the PBE-GGA level of DFT.

Computed properties:
formation enthalpy at 0 K: 0.4607 eV per atom
M_tot: 0.750 μB/atom
symmetry: I-42d, No. 122

a = 4.128 Å, b = 4.128 Å, c = 10.481 Å
α = 78.64°, β = 78.64°, γ = 90.00°
Last column: magnetic moment on the atom in μB.
Fractional coordinates of all 8 atoms:
1 Fe 0.500 0.500 0.000  2.99
2 Fe 0.250 0.750 0.500  2.99
3 Hg 0.000 0.000 0.000  -0.02
4 Hg 0.750 0.250 0.500  -0.02
5 Cd 0.613 0.125 0.250  -0.01
6 Cd 0.137 0.625 0.250  -0.01
7 Cd 0.375 0.387 0.750  -0.01
8 Cd 0.875 0.863 0.750  -0.01

# 20
Computed, not measured: a geometry-optimized Hg4Br2ClO structure at the PBE-GGA level of DFT.

Computed properties:
M_tot: 0.000 μB/atom
formation energy from raw total energies: -204 meV per atom
symmetry: Pmn2_1, No. 31

a = 6.783 Å, b = 9.587 Å, c = 8.299 Å
α = 90.00°, β = 90.00°, γ = 90.00°
Fractional coordinates of all 16 atoms:
1 Hg 0.328 0.125 0.000
2 Hg 0.828 0.875 0.500
3 Hg 0.427 0.111 0.500
4 Hg 0.927 0.889 0.000
5 Hg 0.420 0.686 0.680
6 Hg 0.920 0.314 0.180
7 Hg 0.920 0.314 0.820
8 Hg 0.420 0.686 0.320
9 Br 0.445 0.301 0.252
10 Br 0.445 0.301 0.748
11 Br 0.945 0.699 0.752
12 Br 0.945 0.699 0.248
13 Cl 0.007 0.109 0.500
14 Cl 0.507 0.891 0.000
15 O 0.506 0.898 0.500
16 O 0.006 0.102 0.000

# 21
Computed, not measured: a geometry-optimized V3ZnRu structure at the PBE-GGA level of DFT.

Computed properties:
formation enthalpy at 0 K: 1.4616 eV per atom
M_tot: 0.624 μB/atom
symmetry: Pm-3m, No. 221
E above lowest polymorph: 447 meV per atom

a = 4.392 Å, b = 4.392 Å, c = 4.392 Å
α = 90.00°, β = 90.00°, γ = 90.00°
Last column: magnetic moment on the atom in μB.
Fractional coordinates of all 5 atoms:
1 Ru 0.500 0.500 0.500  -0.35
2 Zn 0.000 0.000 0.000  0.06
3 V 0.000 0.500 0.000  0.96
4 V 0.000 0.000 0.500  0.96
5 V 0.500 0.000 0.000  0.96

# 22
Computed, not measured: a geometry-optimized Ba2SbN2 structure at the PBE-GGA level of DFT.

Computed properties:
M_tot: 0.129 μB/atom
formation energy from raw total energies: -612 meV per atom
symmetry: C2/c, No. 15

a = 5.174 Å, b = 8.824 Å, c = 7.400 Å
α = 101.84°, β = 110.46°, γ = 90.00°
Last column: magnetic moment on the atom in μB.
Fractional coordinates of all 10 atoms:
1 Ba 0.869 0.130 0.264  0.03
2 Ba 0.395 0.630 0.264  0.03
3 Ba 0.131 0.870 0.736  0.03
4 Ba 0.605 0.370 0.736  0.03
5 Sb 0.764 0.750 0.000  0.00
6 Sb 0.236 0.250 0.000  0.00
7 N 0.920 0.468 0.523  0.14
8 N 0.396 0.032 0.477  0.14
9 N 0.080 0.532 0.477  0.14
10 N 0.604 0.968 0.523  0.14

# 23
Computed, not measured: a geometry-optimized YCuIr2 structure at the PBE-GGA level of DFT.

Computed properties:
formation enthalpy at 0 K: -0.1823 eV per atom
M_tot: 0.000 μB/atom
symmetry: I4/mmm, No. 139
E above lowest polymorph: 108 meV per atom

a = 4.994 Å, b = 4.994 Å, c = 4.994 Å
α = 132.14°, β = 132.14°, γ = 70.01°
Fractional coordinates of all 4 atoms:
1 Cu 0.750 0.250 0.500
2 Ir 0.000 0.000 0.000
3 Ir 0.500 0.500 0.000
4 Y 0.250 0.750 0.500

# 24
Computed, not measured: a geometry-optimized CsAu3Se structure at the PBE-GGA level of DFT.

Computed properties:
M_tot: 0.000 μB/atom
formation energy from raw total energies: 1457 meV per atom
symmetry: Pm-3m, No. 221
E above lowest polymorph: 1488 meV per atom

a = 5.863 Å, b = 5.863 Å, c = 5.863 Å
α = 90.00°, β = 90.00°, γ = 90.00°
Fractional coordinates of all 5 atoms:
1 Cs 0.000 0.000 0.000
2 Au 0.000 0.500 0.000
3 Au 0.000 0.000 0.500
4 Au 0.500 0.000 0.000
5 Se 0.500 0.500 0.500

# 25
Computed, not measured: a geometry-optimized RbY2TiRh structure at the PBE-GGA level of DFT.

Computed properties:
formation enthalpy at 0 K: 1.5909 eV per atom
M_tot: 0.395 μB/atom
symmetry: P4/mmm, No. 123

a = 5.413 Å, b = 4.734 Å, c = 5.413 Å
α = 90.00°, β = 90.00°, γ = 90.00°
Last column: magnetic moment on the atom in μB.
Fractional coordinates of all 5 atoms:
1 Y 0.000 0.000 0.500  0.00
2 Y 0.500 0.000 0.000  0.04
3 Rh 0.000 0.500 0.000  -0.06
4 Rb 0.000 0.000 0.000  -0.03
5 Ti 0.500 0.500 0.500  1.51